Computed, not measured: a relaxed structure of VWNF2 at the PBE with a Hubbard U level of DFT.

Lattice parameters (Å, degrees): 3.9510 3.9510 4.1625 90.00 90.00 90.00
Closest atoms and distances in Å follow each position.
Space group P4/mmm (No. 123)
Symmetry-distinct sites (fractional):
1 V 0.0000 0.0000 0.0000 x1  4 F 1.98, 2 N 2.08
2 W 0.5000 0.5000 0.5000 x1  4 N 2.79, 8 F 2.87
3 N 0.0000 0.0000 0.5000 x1  2 V 2.08
4 F 0.0000 0.5000 0.0000 x2  2 V 1.98

Calculated values
E   -0.441 Ry/atom
DOS(E_F)   1.6 states/eV/f.u.